This record from Alexandria via LeMat-Bulk describes MgVZn6 after structural relaxation. The functional is PBE.

a b c (Å): 3.8821 3.8821 8.0661
angles (deg): 90.00 90.00 90.00
Fractional coordinates of all 8 atoms:
Mg 0.0000 0.0000 0.0000
V 0.0000 0.0000 0.5000
Zn 0.0000 0.5000 0.2600
Zn 0.0000 0.5000 0.7400
Zn 0.5000 0.0000 0.2600
Zn 0.5000 0.0000 0.7400
Zn 0.5000 0.5000 0.0000
Zn 0.5000 0.5000 0.5000

Magnetization (μB/f.u.): 1.3
VASP energy (eV per formula unit): -18.4
N(E_F) (states/eV per atom): 0.4261
Space group: No. 123
E_form (eV per atom): -0.01